SrZnTeO GGA-PBE optimized geometry; calculated total energy = -14.08 eV/f.u.; crystal system = tetragonal; SG = P4/nmm
1.0
6.060 0.000 0.000
0.000 6.060 0.000
0.000 0.000 6.708
Sr Zn Te O
2 2 2 2
Direct
0.250 0.750 0.000
0.750 0.250 0.000
0.250 0.250 0.231
0.750 0.750 0.769
0.250 0.250 0.804
0.750 0.750 0.196
0.250 0.250 0.498
0.750 0.750 0.502


SrZnTeO GGA-PBE optimized geometry; calculated total energy = -14.91 eV/f.u.; crystal system = orthorhombic; SG = Cmcm
1.0
1.726 -8.042 0.000
1.726 8.042 0.000
0.000 0.000 6.080
Sr Zn Te O
2 2 2 2
Direct
0.119 0.881 0.750
0.881 0.119 0.250
0.447 0.553 0.750
0.553 0.447 0.250
0.195 0.805 0.250
0.805 0.195 0.750
0.000 0.000 0.000
0.000 0.000 0.500


SrZnTeO GGA-PBE optimized geometry; calculated total energy = -17.31 eV/f.u.; crystal system = orthorhombic; SG = P2_12_12_1
1.0
6.304 0.000 0.000
0.000 7.476 0.000
0.000 0.000 7.794
Sr Zn Te O
4 4 4 4
Direct
0.088 0.001 0.307
0.412 0.999 0.807
0.588 0.499 0.693
0.912 0.501 0.193
0.092 0.315 0.601
0.408 0.685 0.101
0.592 0.185 0.399
0.908 0.815 0.899
0.098 0.673 0.624
0.402 0.327 0.124
0.598 0.827 0.376
0.902 0.173 0.876
0.111 0.770 0.090
0.389 0.230 0.590
0.611 0.730 0.910
0.889 0.270 0.410


SrZnTeO GGA-PBE optimized geometry; calculated total energy = -16.03 eV/f.u.; crystal system = tetragonal; SG = P4/nmm
1.0
4.163 0.000 0.000
0.000 4.163 0.000
0.000 0.000 12.312
Sr Zn Te O
2 2 2 2
Direct
0.250 0.250 0.089
0.750 0.750 0.911
0.250 0.250 0.592
0.750 0.750 0.408
0.250 0.250 0.370
0.750 0.750 0.630
0.250 0.750 0.000
0.750 0.250 0.000


Which formula does entry 4 have? SrZnTeO